1.
## RbAgPd2S (PBE)

Data for crystalline RbAgPd2S at its relaxed geometry.

Cell and atoms, written as POSCAR:
```
RbAgPd2S
1.0
4.6029 0.0000 0.0000
0.0000 4.6029 0.0000
0.0000 0.0000 5.9886
Rb Ag Pd S
1 1 2 1
Cartesian
0.0000 0.0000 0.0000
2.3014 2.3014 0.0000
0.0000 2.3014 2.9943
2.3014 0.0000 2.9943
0.0000 0.0000 2.9943
```

Calculated values
Crystal system ... tetragonal
DFT total energy ... -3.55 eV/atom
Density of states at the Fermi level ... 4.22 states/eV per cell
Theoretical density ... 5.74 g/cm3
Symmetry ... No. 123
Formation energy from raw total energies ... 0.120 eV/atom


2.
## Ru2RhCl (PBE)

Data for crystalline Ru2RhCl at its relaxed geometry.

Cell and atoms, written as POSCAR:
```
Ru2RhCl
1.0
3.2604 -1.4098 0.0000
3.2604 1.4098 0.0000
-0.2033 0.0000 7.6111
Ru Rh Cl
2 1 1
Cartesian
0.0000 0.0000 0.0000
4.5575 0.0000 6.0907
2.7768 0.0000 4.3802
3.1327 0.0000 2.0103
```

Calculated values
Crystal system ... monoclinic
Polymorph energy (0 for the lowest one) ... 0.1438 eV per atom
DFT total energy ... -6.45 eV/atom
Density of states at the Fermi level ... 4.53 states/eV per cell
Theoretical density ... 8.08 g/cm3
Symmetry ... No. 8
Formation energy from raw total energies ... 0.490 eV/atom


3.
## K3TiAs2O8 (PBE)

Data for crystalline K3TiAs2O8 at its relaxed geometry.

Cell and atoms, written as POSCAR:
```
K3TiAs2O8
1.0
5.7155 0.0000 0.0000
-2.8577 4.9497 0.0000
0.0000 0.0000 7.6474
K Ti As O
3 1 2 8
Cartesian
0.0000 0.0000 0.0000
0.0000 3.2998 5.4209
2.8577 1.6499 2.2265
0.0000 0.0000 3.8237
0.0000 3.2998 2.0144
2.8577 1.6499 5.6329
0.0000 1.6579 2.6033
-1.4220 4.1208 2.6033
0.0000 3.2998 0.3379
1.4357 0.8289 5.0441
1.4220 4.1208 2.6033
2.8577 1.6499 7.3095
4.2797 0.8289 5.0441
2.8577 3.2919 5.0441
```

Calculated values
Crystal system ... trigonal
DFT total energy ... -6.09 eV/atom
Density of states at the Fermi level ... 4.33 states/eV per cell
Theoretical density ... 3.40 g/cm3
Symmetry ... No. 164
Formation energy from raw total energies ... -1.795 eV/atom


4.
## TaCd2FeN (PBE)

Data for crystalline TaCd2FeN at its relaxed geometry.

Cell and atoms, written as POSCAR:
```
TaCd2FeN
1.0
4.9108 0.0000 0.0000
0.0000 4.9108 0.0000
0.0000 0.0000 3.4583
Ta Cd Fe N
1 2 1 1
Cartesian
0.0000 0.0000 0.0000
0.0000 2.4554 1.7291
2.4554 0.0000 1.7291
2.4554 2.4554 0.0000
2.4554 2.4554 1.7291
```

Calculated values
Crystal system ... tetragonal
Polymorph energy (0 for the lowest one) ... 0.0000 eV per atom
DFT total energy ... -5.35 eV/atom
Density of states at the Fermi level ... 4.11 states/eV per cell
Theoretical density ... 9.47 g/cm3
Symmetry ... No. 123
Formation energy from raw total energies ... 0.745 eV/atom


5.
## SmLuTlAg (PBE)

Data for crystalline SmLuTlAg at its relaxed geometry.

Cell and atoms, written as POSCAR:
```
SmLuTlAg
1.0
0.0000 3.7267 3.7267
3.7267 0.0000 3.7267
3.7267 3.7267 0.0000
Sm Lu Tl Ag
1 1 1 1
Cartesian
0.0000 0.0000 0.0000
3.7267 3.7267 3.7267
1.8633 1.8633 1.8633
5.5900 5.5900 5.5900
```

Calculated values
Crystal system ... cubic
DFT total energy ... -3.93 eV/atom
Density of states at the Fermi level ... 2.89 states/eV per cell
Theoretical density ... 10.23 g/cm3
Symmetry ... No. 216


> What is the formula in the fifth record?

SmLuTlAg


> The highest density of states at the Fermi level belongs to which entry?

Ru2RhCl